P | The following is a DFT calculation (PBE-GGA) of crystalline Ba6Na2N at its relaxed geometry.

abc: 4.511 7.817 15.537
angles: 69.19 81.65 73.23
Fractional coordinates of all 9 atoms:
Ba 0.845 0.206 0.104
Ba 0.155 0.794 0.896
Ba 0.340 0.724 0.595
Ba 0.078 0.700 0.144
Ba 0.922 0.300 0.856
Ba 0.660 0.276 0.405
Na 0.396 0.881 0.328
Na 0.604 0.119 0.672
N 0.000 0.000 0.000

Summary:
The value obtained for the calculated density is 3.00 g cm⁻³.

=====

Q | The following is a DFT calculation (PBE-GGA) of crystalline Ba6Na2N at its relaxed geometry.

abc: 8.136 9.838 11.225
angles: 90.00 90.00 99.28
Fractional coordinates of all 18 atoms:
Ba 0.103 0.783 0.032
Ba 0.156 0.446 0.217
Ba 0.210 0.018 0.368
Ba 0.290 0.482 0.868
Ba 0.344 0.054 0.717
Ba 0.397 0.717 0.532
Ba 0.897 0.217 0.968
Ba 0.844 0.554 0.783
Ba 0.790 0.982 0.632
Ba 0.710 0.518 0.132
Ba 0.656 0.946 0.283
Ba 0.603 0.283 0.468
Na 0.091 0.333 0.562
Na 0.409 0.167 0.062
Na 0.591 0.833 0.938
Na 0.909 0.667 0.438
N 0.500 0.000 0.500
N 0.000 0.500 0.000

Summary:
The value obtained for the calculated density is 3.31 g cm⁻³.

=====

Which of them is the most stable, and which is the least stable? Q and P, in that order.